PBE AcPrHgTe2, optimized geometry; space-group type = P4/nmm (129); Fermi-level density of states = 6.64 states/eV/cell; magnetic moment = 0.00 Bohr magnetons per cell; raw formation energy = -1.138 eV/atom
1.0
4.603 0.000 0.000
0.000 4.603 0.000
0.000 0.000 15.660
Ac Pr Hg Te
2 2 2 4
Direct
0.250 0.250 0.096 Ac
0.750 0.750 0.904 Ac
0.250 0.250 0.667 Pr
0.750 0.750 0.333 Pr
0.250 0.750 0.500 Hg
0.750 0.250 0.500 Hg
0.250 0.250 0.308 Te
0.250 0.250 0.878 Te
0.750 0.750 0.122 Te
0.750 0.750 0.692 Te

=====

PBE AcPrThHg, optimized geometry; space-group type = F-43m (216); Fermi-level density of states = 5.72 states/eV/cell; final energy = -4.07 eV per atom; magnetic moment = 0.00 Bohr magnetons per cell
1.0
0.000 4.013 4.013
4.013 0.000 4.013
4.013 4.013 0.000
Ac Pr Th Hg
1 1 1 1
Direct
0.000 0.000 0.000 Ac
0.250 0.250 0.250 Pr
0.750 0.750 0.750 Th
0.500 0.500 0.500 Hg

=====

- Which value of Fermi-level density of states does entry 2 give?
  5.72 states/eV/cell

=====

Please write out number 2 again, unchanged.
PBE AcPrThHg, optimized geometry; space-group type = F-43m (216); Fermi-level density of states = 5.72 states/eV/cell; final energy = -4.07 eV per atom; magnetic moment = 0.00 Bohr magnetons per cell
1.0
0.000 4.013 4.013
4.013 0.000 4.013
4.013 4.013 0.000
Ac Pr Th Hg
1 1 1 1
Direct
0.000 0.000 0.000 Ac
0.250 0.250 0.250 Pr
0.750 0.750 0.750 Th
0.500 0.500 0.500 Hg

=====

- Which formula does entry 2 have?
  AcPrThHg